First-principles (PBE) data for a relaxed structure of Cs2NaSb, as listed in Alexandria.

abc: 7.356 10.453 12.645
angles: 115.16 90.00 90.00
Fractional coordinates of all 16 atoms:
1 Cs 0.750 0.087 0.183
2 Cs 0.250 0.413 0.817
3 Cs 0.250 0.913 0.817
4 Cs 0.750 0.587 0.183
5 Cs 0.750 0.620 0.734
6 Cs 0.250 0.880 0.266
7 Cs 0.250 0.380 0.266
8 Cs 0.750 0.120 0.734
9 Na 0.750 0.471 0.444
10 Na 0.250 0.029 0.556
11 Na 0.250 0.529 0.556
12 Na 0.750 0.971 0.444
13 Sb 0.500 0.250 0.500
14 Sb 0.000 0.250 0.500
15 Sb 0.500 0.750 0.500
16 Sb 0.000 0.750 0.500

Calculated values
Formation energy (no corrections): -0.22 eV per atom
Total magnetic moment: 0.00 μB per atom